Here is crystalline Ba5In at its relaxed geometry from the Alexandria database. Energies are from PBE-GGA.

Properties
Its energy above the most stable polymorph in this dataset is 0.0086 eV per atom. The formation energy is -0.1277 eV per atom. Its space group is No. 123. The value obtained for the total energy is -0.161 Ry/atom.

```
6
Lattice="-0.640 3.603 -2.358 -3.857 0.580 1.933 7.738 9.593 12.558" Properties=species:S:1:pos:R:3 pbc="T T T"
Ba 6.858 8.503 11.130
Ba 0.880 1.091 1.428
Ba 3.077 8.694 8.431
Ba 0.164 5.083 3.703
Ba 3.869 4.797 6.279
In -2.249 2.092 -0.212
```

Here is crystalline Pm6GeP2I3 at its relaxed geometry from the Alexandria database. Energies are from PBE-GGA.

Properties
Its space group is No. 12. The value obtained for the total energy is -0.390 Ry/atom.

```
12
Lattice="7.338 -0.001 0.000 -3.668 6.356 0.000 -1.224 -2.120 7.655" Properties=species:S:1:pos:R:3 pbc="T T T"
Pm 3.691 2.077 6.199
Pm 2.423 4.195 1.453
Pm -1.245 2.159 1.457
Pm -0.046 4.235 6.199
Pm 0.023 0.041 6.203
Pm 2.492 0.001 1.457
Ge 0.000 0.000 0.000
P -0.001 4.238 0.000
P 3.672 2.117 0.000
I -2.465 4.248 3.828
I 4.911 -0.012 3.828
I 1.223 2.118 3.828
```

Here is crystalline NaInSn at its relaxed geometry from the Alexandria database. Energies are from PBE-GGA.

Properties
The formation energy is -0.1275 eV per atom. Its space group is No. 62. The value obtained for the total energy is -0.207 Ry/atom.

```
12
Lattice="6.671 0.000 0.000 0.000 4.701 0.000 0.000 0.000 10.275" Properties=species:S:1:pos:R:3 pbc="T T T"
Na 5.859 1.175 4.233
Na 4.147 3.526 9.371
Na 0.812 3.526 6.042
Na 2.524 1.175 0.904
Sn 2.534 1.175 4.357
Sn 0.801 3.526 9.494
Sn 4.137 3.526 5.918
Sn 5.870 1.175 0.781
In 5.937 1.175 7.805
In 4.069 3.526 2.667
In 0.734 3.526 2.470
In 2.602 1.175 7.607
```

What did we get for density of states at the Fermi level? Answer: 8.9; 3.9; 4.7 states/eV per cell, in the order shown.